1.
The following is a DFT calculation (PBE-GGA) of a relaxed KLiGeCl4 crystal.

Lattice parameters (Å, degrees): 7.562 6.909 8.875 90.00 111.95 90.00
Positions (direct):
K 0.210 0.250 0.472
K 0.790 0.750 0.528
Li 0.217 0.750 0.186
Li 0.783 0.250 0.814
Ge 0.289 0.250 0.023
Ge 0.711 0.750 0.977
Cl 0.009 0.250 0.089
Cl 0.087 0.750 0.377
Cl 0.445 0.005 0.218
Cl 0.445 0.495 0.218
Cl 0.555 0.505 0.782
Cl 0.555 0.995 0.782
Cl 0.913 0.250 0.623
Cl 0.991 0.750 0.911

Properties
V ... 430 Å³/cell
Total magnetic moment ... 0.00 μB/f.u.
Crystal system ... monoclinic
Raw formation energy ... -1.4027 eV per atom
Raw total energy ... -3.5477 eV/atom

2.
The following is a DFT calculation (PBE-GGA) of a relaxed CsAgBr2 crystal.

Lattice parameters (Å, degrees): 8.259 8.259 8.259 31.78 31.78 31.78
Positions (direct):
Cs 0.000 0.000 0.000
Ag 0.169 0.169 0.169
Br 0.564 0.564 0.564
Br 0.772 0.772 0.772

Properties
V ... 139 Å³/cell
Total magnetic moment ... 0.00 μB/f.u.
E above lowest polymorph ... 0.109 eV per atom
Crystal system ... trigonal
Raw formation energy ... -0.9690 eV per atom
Raw total energy ... -2.7316 eV/atom

3.
The following is a DFT calculation (PBE-GGA) of a relaxed Tb11Sm9Ho4 crystal.

Lattice parameters (Å, degrees): 15.266 15.266 3.683 90.00 90.00 113.28
Positions (direct):
Tb 0.000 0.000 0.000
Tb 0.044 0.406 0.000
Tb 0.161 0.839 0.000
Tb 0.291 0.291 0.000
Tb 0.368 0.632 0.000
Tb 0.406 0.044 0.000
Tb 0.594 0.956 0.000
Tb 0.632 0.368 0.000
Tb 0.709 0.709 0.000
Tb 0.839 0.161 0.000
Tb 0.956 0.594 0.000
Sm 0.066 0.214 0.500
Sm 0.164 0.630 0.500
Sm 0.214 0.066 0.500
Sm 0.370 0.836 0.500
Sm 0.500 0.500 0.500
Sm 0.630 0.164 0.500
Sm 0.786 0.934 0.500
Sm 0.836 0.370 0.500
Sm 0.934 0.786 0.500
Ho 0.243 0.445 0.500
Ho 0.445 0.243 0.500
Ho 0.555 0.757 0.500
Ho 0.757 0.555 0.500

Properties
V ... 789 Å³/cell
Total magnetic moment ... 0.00 μB/f.u.
Crystal system ... orthorhombic
Calculated formation energy ... 0.052 eV per atom
Raw total energy ... -4.6025 eV/atom